Entry one
Material: Ca3C4
Method: DFT, PBE-GGA
State: relaxed

Structure (CIF):
```
data_Ca3C4
_cell_length_a 5.1792
_cell_length_b 5.1792
_cell_length_c 5.1792
_cell_angle_alpha 90.00
_cell_angle_beta 90.00
_cell_angle_gamma 90.00
_symmetry_space_group_name_H-M 'P 1'
_symmetry_Int_Tables_number 1
loop_
_symmetry_equiv_pos_as_xyz
'x,y,z'
loop_
_atom_site_label
_atom_site_type_symbol
_atom_site_fract_x
_atom_site_fract_y
_atom_site_fract_z
Ca1 Ca 0.0000 0.5000 0.0000
Ca2 Ca 0.0000 0.0000 0.5000
Ca3 Ca 0.5000 0.0000 0.0000
C1 C 0.0000 0.0000 0.0000
C2 C 0.0000 0.5000 0.5000
C3 C 0.5000 0.0000 0.5000
C4 C 0.5000 0.5000 0.0000
```

Calculated values
Total magnetization (μB per cell): 6.07
Crystal system: cubic
SG: Pm-3m (221)
Mass density (g/cm3): 2.0

Entry two
Material: Ca3C4
Method: DFT, PBE-GGA
State: relaxed

Structure (CIF):
```
data_Ca3C4
_cell_length_a 5.8855
_cell_length_b 5.8855
_cell_length_c 5.8855
_cell_angle_alpha 90.00
_cell_angle_beta 90.00
_cell_angle_gamma 90.00
_symmetry_space_group_name_H-M 'P 1'
_symmetry_Int_Tables_number 1
loop_
_symmetry_equiv_pos_as_xyz
'x,y,z'
loop_
_atom_site_label
_atom_site_type_symbol
_atom_site_fract_x
_atom_site_fract_y
_atom_site_fract_z
Ca1 Ca 0.5000 0.0000 0.5000
Ca2 Ca 0.5000 0.5000 0.0000
Ca3 Ca 0.0000 0.5000 0.5000
C1 C 0.2674 0.7326 0.2674
C2 C 0.7326 0.2674 0.2674
C3 C 0.7326 0.7326 0.7326
C4 C 0.2674 0.2674 0.7326
```

Calculated values
Total magnetization (μB per cell): 10.00
Crystal system: cubic
SG: P-43m (215)
Mass density (g/cm3): 1.4

Entry three
Material: Ca3C4
Method: DFT, PBE-GGA
State: relaxed

Structure (CIF):
```
data_Ca3C4
_cell_length_a 9.1646
_cell_length_b 9.1646
_cell_length_c 9.1646
_cell_angle_alpha 156.31
_cell_angle_beta 156.31
_cell_angle_gamma 33.75
_symmetry_space_group_name_H-M 'P 1'
_symmetry_Int_Tables_number 1
loop_
_symmetry_equiv_pos_as_xyz
'x,y,z'
loop_
_atom_site_label
_atom_site_type_symbol
_atom_site_fract_x
_atom_site_fract_y
_atom_site_fract_z
Ca1 Ca 0.0000 0.0000 0.0000
Ca2 Ca 0.6771 0.6771 0.0000
Ca3 Ca 0.3229 0.3229 0.0000
C1 C 0.8293 0.8293 0.0000
C2 C 0.1707 0.1707 0.0000
C3 C 0.5360 0.5360 0.0000
C4 C 0.4640 0.4640 0.0000
```

Calculated values
Total magnetization (μB per cell): 3.98
Crystal system: tetragonal
SG: I4/mmm (139)
Mass density (g/cm3): 2.3

Most favorable first, least favorable last: entry three, entry one, entry two

Entry one
Material: Ca5C
Method: DFT, PBE-GGA
State: relaxed

Structure (CIF):
```
data_Ca5C
_cell_length_a 3.4267
_cell_length_b 3.4267
_cell_length_c 15.6659
_cell_angle_alpha 90.00
_cell_angle_beta 90.00
_cell_angle_gamma 90.00
_symmetry_space_group_name_H-M 'P 1'
_symmetry_Int_Tables_number 1
loop_
_symmetry_equiv_pos_as_xyz
'x,y,z'
loop_
_atom_site_label
_atom_site_type_symbol
_atom_site_fract_x
_atom_site_fract_y
_atom_site_fract_z
Ca1 Ca 0.0000 0.0000 0.9099
Ca2 Ca 0.0000 0.0000 0.0901
Ca3 Ca 0.5000 0.5000 0.6986
Ca4 Ca 0.5000 0.5000 0.3014
Ca5 Ca 0.0000 0.0000 0.5000
C1 C 0.5000 0.5000 0.0000
```

Calculated values
Total magnetization (μB per cell): 1.05
Crystal system: tetragonal
SG: P4/mmm (123)
Mass density (g/cm3): 1.9

Entry two
Material: Ca5C
Method: DFT, PBE-GGA
State: relaxed

Structure (CIF):
```
data_Ca5C
_cell_length_a 6.9524
_cell_length_b 6.9524
_cell_length_c 6.5292
_cell_angle_alpha 90.00
_cell_angle_beta 90.00
_cell_angle_gamma 120.00
_symmetry_space_group_name_H-M 'P 1'
_symmetry_Int_Tables_number 1
loop_
_symmetry_equiv_pos_as_xyz
'x,y,z'
loop_
_atom_site_label
_atom_site_type_symbol
_atom_site_fract_x
_atom_site_fract_y
_atom_site_fract_z
Ca1 Ca 0.3333 0.6667 0.0000
Ca2 Ca 0.6667 0.3333 0.0000
Ca3 Ca 0.5000 0.0000 0.5000
Ca4 Ca 0.0000 0.5000 0.5000
Ca5 Ca 0.5000 0.5000 0.5000
C1 C 0.0000 0.0000 0.0000
```

Calculated values
Total magnetization (μB per cell): 1.95
Crystal system: hexagonal
SG: P6/mmm (191)
Mass density (g/cm3): 1.3

Entry three
Material: Ca5C
Method: DFT, PBE-GGA
State: relaxed

Structure (CIF):
```
data_Ca5C
_cell_length_a 13.4631
_cell_length_b 13.4631
_cell_length_c 4.2390
_cell_angle_alpha 90.00
_cell_angle_beta 90.00
_cell_angle_gamma 165.28
_symmetry_space_group_name_H-M 'P 1'
_symmetry_Int_Tables_number 1
loop_
_symmetry_equiv_pos_as_xyz
'x,y,z'
loop_
_atom_site_label
_atom_site_type_symbol
_atom_site_fract_x
_atom_site_fract_y
_atom_site_fract_z
Ca1 Ca 0.9207 0.0793 0.0000
Ca2 Ca 0.0793 0.9207 0.0000
Ca3 Ca 0.0000 0.0000 0.5000
Ca4 Ca 0.3146 0.6854 0.5000
Ca5 Ca 0.6854 0.3146 0.5000
C1 C 0.5000 0.5000 0.0000
```

Calculated values
Total magnetization (μB per cell): 0.00
Crystal system: orthorhombic
SG: Cmmm (65)
Mass density (g/cm3): 1.8

Most favorable first, least favorable last: entry one, entry three, entry two

Entry one
Material: Ca5C
Method: DFT, PBE-GGA
State: relaxed

Structure (CIF):
```
data_Ca5C
_cell_length_a 8.3262
_cell_length_b 8.3262
_cell_length_c 3.6401
_cell_angle_alpha 90.00
_cell_angle_beta 90.00
_cell_angle_gamma 120.00
_symmetry_space_group_name_H-M 'P 1'
_symmetry_Int_Tables_number 1
loop_
_symmetry_equiv_pos_as_xyz
'x,y,z'
loop_
_atom_site_label
_atom_site_type_symbol
_atom_site_fract_x
_atom_site_fract_y
_atom_site_fract_z
Ca1 Ca 0.7857 0.0000 0.0000
Ca2 Ca 0.2143 0.2143 0.0000
Ca3 Ca 0.0000 0.7857 0.0000
Ca4 Ca 0.6667 0.3333 0.5000
Ca5 Ca 0.3333 0.6667 0.5000
C1 C 0.0000 0.0000 0.5000
```

Calculated values
Total magnetization (μB per cell): 0.00
Crystal system: hexagonal
SG: P-62m (189)
Mass density (g/cm3): 1.6

Entry two
Material: Ca5C
Method: DFT, PBE-GGA
State: relaxed

Structure (CIF):
```
data_Ca5C
_cell_length_a 6.8847
_cell_length_b 6.8847
_cell_length_c 8.1493
_cell_angle_alpha 83.17
_cell_angle_beta 83.17
_cell_angle_gamma 30.74
_symmetry_space_group_name_H-M 'P 1'
_symmetry_Int_Tables_number 1
loop_
_symmetry_equiv_pos_as_xyz
'x,y,z'
loop_
_atom_site_label
_atom_site_type_symbol
_atom_site_fract_x
_atom_site_fract_y
_atom_site_fract_z
Ca1 Ca 0.3814 0.3814 0.0610
Ca2 Ca 0.6437 0.6437 0.9107
Ca3 Ca 0.5559 0.5559 0.2756
Ca4 Ca 0.9728 0.9728 0.7139
Ca5 Ca 0.2603 0.2603 0.5111
C1 C 0.0192 0.0192 0.0278
```

Calculated values
Total magnetization (μB per cell): 0.00
Crystal system: monoclinic
SG: Cm (8)
Mass density (g/cm3): 1.8

Most favorable first, least favorable last: entry two, entry one